## DyMoClO4 (GGA+U)

Data for an optimized crystal structure of DyMoClO4.

As for the density: 4756 kg/m³. The total energy comes out at -7.0491 eV/atom.

The structure belongs to space group C2/m (No. 12); the cell edges are 10.306, 7.328 and 6.931 Å and the angles 90.00°, 107.28° and 90.00°. The asymmetric unit holds Dy at (0.222, 0.000, 0.113), Mo at (0.138, 0.500, 0.269), Cl at (0.011, 0.000, 0.768), O at (0.043, 0.500, 0.797), O at (0.200, 0.309, 0.153) and O at (0.207, 0.500, 0.535).